1.
# Pu2CoGe6Rh

A relaxed structure of Pu2CoGe6Rh (PBE, Alexandria).

Unit cell a=12.619 b=12.619 c=12.619 alpha=27.61 beta=27.61 gamma=27.61
Element x y z (fractional)
Pu 0.108 0.108 0.108
Pu 0.296 0.296 0.296
Pu 0.704 0.704 0.704
Pu 0.892 0.892 0.892
Co 0.000 0.000 0.000
Co 0.500 0.500 0.500
Ge 0.078 0.659 0.659
Ge 0.224 0.224 0.665
Ge 0.224 0.665 0.224
Ge 0.335 0.776 0.776
Ge 0.341 0.341 0.922
Ge 0.341 0.922 0.341
Ge 0.659 0.078 0.659
Ge 0.659 0.659 0.078
Ge 0.665 0.224 0.224
Ge 0.776 0.335 0.776
Ge 0.776 0.776 0.335
Ge 0.922 0.341 0.341
Rh 0.427 0.427 0.427
Rh 0.573 0.573 0.573

Results
Volume   19.055 Å³ per atom
Energy of formation from the pure elements   -3.02 eV/f.u.
Final energy   -7.385 eV/atom
Space-group type   No. 166

=====

2.
# H2RuRh2

A relaxed structure of H2RuRh2 (PBE, Alexandria).

Unit cell a=5.986 b=5.986 c=2.816 alpha=90.00 beta=90.00 gamma=90.00
Element x y z (fractional)
H 0.215 0.285 0.000
H 0.285 0.785 0.000
H 0.715 0.215 0.000
H 0.785 0.715 0.000
Ru 0.000 0.000 0.000
Ru 0.500 0.500 0.000
Rh 0.152 0.652 0.500
Rh 0.348 0.152 0.500
Rh 0.652 0.848 0.500
Rh 0.848 0.348 0.500

Results
Energy above the lowest structure with this stoichiometry   35 meV/atom
Volume   10.090 Å³ per atom
Final energy   -5.876 eV/atom
Space-group type   No. 127

=====

3.
# V4CrMo2

A relaxed structure of V4CrMo2 (PBE, Alexandria).

Unit cell a=6.941 b=6.941 c=6.941 alpha=144.42 beta=144.42 gamma=51.20
Element x y z (fractional)
V 0.000 0.500 0.500
V 0.186 0.186 0.000
V 0.500 0.000 0.500
V 0.814 0.814 0.000
Cr 0.000 0.000 0.000
Mo 0.372 0.372 0.000
Mo 0.628 0.628 0.000

Results
Energy above the lowest structure with this stoichiometry   832 meV/atom
Volume   16.081 Å³ per atom
Energy of formation from the pure elements   6.46 eV/f.u.
Final energy   -8.756 eV/atom
Space-group type   No. 139

=====

4.
# Pm2LuRu

A relaxed structure of Pm2LuRu (PBE, Alexandria).

Unit cell a=10.849 b=10.849 c=10.849 alpha=18.83 beta=18.83 gamma=18.83
Element x y z (fractional)
Pm 0.106 0.106 0.106
Pm 0.894 0.894 0.894
Lu 0.000 0.000 0.000
Ru 0.500 0.500 0.500

Results
Energy above the lowest structure with this stoichiometry   237 meV/atom
Volume   29.071 Å³ per atom
Energy of formation from the pure elements   0.78 eV/f.u.
Final energy   -5.628 eV/atom
Space-group type   No. 166

=====

5.
# GaCo2HIr

A relaxed structure of GaCo2HIr (PBE, Alexandria).

Unit cell a=3.680 b=3.680 c=3.839 alpha=90.00 beta=90.00 gamma=90.00
Element x y z (fractional)
Ga 0.000 0.000 0.000
Co 0.000 0.500 0.500
Co 0.500 0.000 0.500
H 0.500 0.500 0.500
Ir 0.500 0.500 0.000

Results
Energy above the lowest structure with this stoichiometry   0 meV/atom
Volume   10.401 Å³ per atom
Final energy   -5.965 eV/atom
Space-group type   No. 123

=====

6.
# ReAsRhBr2

A relaxed structure of ReAsRhBr2 (PBE, Alexandria).

Unit cell a=5.109 b=5.109 c=4.751 alpha=90.00 beta=90.00 gamma=90.00
Element x y z (fractional)
Re 0.000 0.000 0.000
As 0.000 0.000 0.500
Rh 0.500 0.500 0.500
Br 0.000 0.500 0.000
Br 0.500 0.000 0.000

Results
Formation energy (no corrections)   1.182 eV per atom
Energy above the lowest structure with this stoichiometry   0 meV/atom
Volume   24.801 Å³ per atom
Final energy   -4.377 eV/atom
Space-group type   No. 123

=====

7.
# Zr4CrPb

A relaxed structure of Zr4CrPb (PBE, Alexandria).

Unit cell a=5.799 b=5.799 c=5.799 alpha=60.00 beta=60.00 gamma=60.00
Element x y z (fractional)
Zr 0.124 0.124 0.124
Zr 0.124 0.124 0.629
Zr 0.124 0.629 0.124
Zr 0.629 0.124 0.124
Cr 0.750 0.750 0.750
Pb 0.500 0.500 0.500

Results
Volume   22.985 Å³ per atom
Energy of formation from the pure elements   2.71 eV/f.u.
Final energy   -7.468 eV/atom
Space-group type   No. 216

=====

8.
# TlHSe2Br

A relaxed structure of TlHSe2Br (PBE, Alexandria).

Unit cell a=4.176 b=4.176 c=7.343 alpha=90.00 beta=90.00 gamma=90.00
Element x y z (fractional)
Tl 0.000 0.000 0.000
H 0.500 0.500 0.500
Se 0.000 0.500 0.500
Se 0.500 0.000 0.500
Br 0.500 0.500 0.000

Results
Energy above the lowest structure with this stoichiometry   0 meV/atom
Volume   25.608 Å³ per atom
Final energy   -2.746 eV/atom
Space-group type   No. 123

=====

What did the eighth record say?
# TlHSe2Br

A relaxed structure of TlHSe2Br (PBE, Alexandria).

Unit cell a=4.176 b=4.176 c=7.343 alpha=90.00 beta=90.00 gamma=90.00
Element x y z (fractional)
Tl 0.000 0.000 0.000
H 0.500 0.500 0.500
Se 0.000 0.500 0.500
Se 0.500 0.000 0.500
Br 0.500 0.500 0.000

Results
Energy above the lowest structure with this stoichiometry   0 meV/atom
Volume   25.608 Å³ per atom
Final energy   -2.746 eV/atom
Space-group type   No. 123

=====

Number 7 is which compound? Zr4CrPb

=====

What is the volume in the second record? 10.090 Å³ per atom